Record 1
A relaxed structure of K2N2O. Source: the Alexandria database, functional PBE-GGA.

Output
Formation energy from raw total energies in eV/atom: 0.885

The structure in CIF format:
```
data_K2N2O
_space_group_name_H-M_alt 'P 1'
_space_group_IT_number 1
_cell_length_a 2.874
_cell_length_b 2.874
_cell_length_c 8.699
_cell_angle_alpha 80.49
_cell_angle_beta 80.49
_cell_angle_gamma 90.00
loop_
_space_group_symop_operation_xyz
'x,y,z'
loop_
_atom_site_label
_atom_site_type_symbol
_atom_site_fract_x
_atom_site_fract_y
_atom_site_fract_z
_atom_site_occupancy
K1 K 0.600 0.600 0.801 1
K2 K 0.400 0.400 0.199 1
O1 O 0.000 0.000 0.000 1
N1 N 0.250 0.750 0.500 1
N2 N 0.750 0.250 0.500 1
```

Record 2
A relaxed structure of Tb2CeNd3Te6. Source: the Alexandria database, functional PBE-GGA.

Output
Formation energy from raw total energies in eV/atom: -1.380

The structure in CIF format:
```
data_Tb2CeNd3Te6
_space_group_name_H-M_alt 'P 1'
_space_group_IT_number 1
_cell_length_a 4.425
_cell_length_b 8.978
_cell_length_c 9.958
_cell_angle_alpha 102.98
_cell_angle_beta 102.84
_cell_angle_gamma 90.00
loop_
_space_group_symop_operation_xyz
'x,y,z'
loop_
_atom_site_label
_atom_site_type_symbol
_atom_site_fract_x
_atom_site_fract_y
_atom_site_fract_z
_atom_site_occupancy
Te1 Te 0.997 0.749 0.993 1
Te2 Te 0.332 0.909 0.664 1
Te3 Te 0.668 0.091 0.336 1
Te4 Te 0.670 0.577 0.339 1
Te5 Te 0.330 0.423 0.661 1
Te6 Te 0.003 0.251 0.007 1
Nd1 Nd 0.836 0.167 0.672 1
Nd2 Nd 0.500 0.500 0.000 1
Nd3 Nd 0.164 0.833 0.328 1
Tb1 Tb 0.166 0.331 0.331 1
Tb2 Tb 0.834 0.669 0.669 1
Ce1 Ce 0.500 0.000 0.000 1
```

Record 3
A relaxed structure of LiAu2Br. Source: the Alexandria database, functional PBE-GGA.

Output
Formation energy from raw total energies in eV/atom: -0.169

The structure in CIF format:
```
data_LiAu2Br
_space_group_name_H-M_alt 'P 1'
_space_group_IT_number 1
_cell_length_a 5.195
_cell_length_b 5.195
_cell_length_c 5.195
_cell_angle_alpha 129.94
_cell_angle_beta 96.42
_cell_angle_gamma 104.25
loop_
_space_group_symop_operation_xyz
'x,y,z'
loop_
_atom_site_label
_atom_site_type_symbol
_atom_site_fract_x
_atom_site_fract_y
_atom_site_fract_z
_atom_site_occupancy
Li1 Li 0.258 0.758 0.500 1
Br1 Br 0.450 0.450 0.000 1
Au1 Au 0.777 0.277 0.500 1
Au2 Au 0.016 0.016 0.000 1
```

Record 4
A relaxed structure of CuAuN2. Source: the Alexandria database, functional PBE-GGA.

Output
Formation energy from raw total energies in eV/atom: 1.123

The structure in CIF format:
```
data_CuAuN2
_space_group_name_H-M_alt 'P 1'
_space_group_IT_number 1
_cell_length_a 6.025
_cell_length_b 6.025
_cell_length_c 6.025
_cell_angle_alpha 31.17
_cell_angle_beta 31.17
_cell_angle_gamma 31.17
loop_
_space_group_symop_operation_xyz
'x,y,z'
loop_
_atom_site_label
_atom_site_type_symbol
_atom_site_fract_x
_atom_site_fract_y
_atom_site_fract_z
_atom_site_occupancy
N1 N 0.893 0.893 0.893 1
N2 N 0.107 0.107 0.107 1
Cu1 Cu 0.000 0.000 0.000 1
Au1 Au 0.500 0.500 0.500 1
```

Record 5
A relaxed structure of RbBaV2In. Source: the Alexandria database, functional PBE-GGA.

Output
ΔE_f in eV/atom: 1.047

The structure in CIF format:
```
data_RbBaV2In
_space_group_name_H-M_alt 'P 1'
_space_group_IT_number 1
_cell_length_a 5.544
_cell_length_b 5.544
_cell_length_c 6.392
_cell_angle_alpha 90.00
_cell_angle_beta 90.00
_cell_angle_gamma 90.00
loop_
_space_group_symop_operation_xyz
'x,y,z'
loop_
_atom_site_label
_atom_site_type_symbol
_atom_site_fract_x
_atom_site_fract_y
_atom_site_fract_z
_atom_site_occupancy
Rb1 Rb 0.500 0.500 0.500 1
V1 V 0.500 0.000 0.000 1
V2 V 0.000 0.500 0.000 1
In1 In 0.000 0.000 0.000 1
Ba1 Ba 0.000 0.000 0.500 1
```

Record 6
A relaxed structure of NpGa2Fe2P. Source: the Alexandria database, functional PBE-GGA.

Output
ΔE_f in eV/atom: -0.224

The structure in CIF format:
```
data_NpGa2Fe2P
_space_group_name_H-M_alt 'P 1'
_space_group_IT_number 1
_cell_length_a 4.211
_cell_length_b 4.211
_cell_length_c 5.463
_cell_angle_alpha 90.00
_cell_angle_beta 90.00
_cell_angle_gamma 90.00
loop_
_space_group_symop_operation_xyz
'x,y,z'
loop_
_atom_site_label
_atom_site_type_symbol
_atom_site_fract_x
_atom_site_fract_y
_atom_site_fract_z
_atom_site_occupancy
P1 P 0.000 0.000 0.000 1
Fe1 Fe 0.000 0.500 0.000 1
Fe2 Fe 0.500 0.000 0.000 1
Ga1 Ga 0.500 0.500 0.268 1
Ga2 Ga 0.500 0.500 0.732 1
Np1 Np 0.000 0.000 0.500 1
```